VASP calculation (PBE with a Hubbard U) on a relaxed BaAc2CoO6 crystal.

The space group is P4mm (No. 99) and the conventional cell measures 5.6721, 5.6721 and 5.7319 Å, with angles of 90.00, 90.00 and 90.00 degrees. The inequivalent atoms are Ba at (0.0000, 0.0000, 0.0000), Ac at (0.0000, 0.5000, 0.4639), Co at (0.5000, 0.5000, 0.1060), O at (0.0000, 0.0000, 0.5596), O at (0.2778, 0.2778, 0.2195) and O at (0.5000, 0.5000, 0.7855).

As for the total moment: 2.98 μB per formula unit. The total energy comes out at -6.78 eV/atom.